Entry 1:
Entry from the Alexandria database: Tb7Sm2Tm2 after structural relaxation (PBE).

```
data_Tb7Sm2Tm2
_symmetry_space_group_name_H-M 'P 1'
_symmetry_Int_Tables_number 1
_cell_length_a 6.056
_cell_length_b 8.027
_cell_length_c 8.027
_cell_angle_alpha 91.01
_cell_angle_beta 73.89
_cell_angle_gamma 73.89
loop_
_symmetry_equiv_pos_as_xyz
'x,y,z'
loop_
_atom_site_label
_atom_site_type_symbol
_atom_site_fract_x
_atom_site_fract_y
_atom_site_fract_z
Tb1 Tb 0.000 0.000 0.000
Tm1 Tm 0.500 0.784 0.216
Sm1 Sm 0.802 0.415 0.415
Tb2 Tb 0.179 0.588 0.060
Tm2 Tm 0.500 0.216 0.784
Tb3 Tb 0.821 0.940 0.412
Tb4 Tb 0.415 0.227 0.227
Tb5 Tb 0.821 0.412 0.940
Tb6 Tb 0.179 0.060 0.588
Tb7 Tb 0.585 0.773 0.773
Sm2 Sm 0.198 0.585 0.585
```

DOS(E_F) = 17.3 states/eV/f.u.
Distance to the lowest polymorph of the same formula = 36 meV per atom
ΔE_f = 151 meV per atom
Total moment = 0.0 μB/f.u.
SG = C2/m

***

Entry 2:
Entry from the Alexandria database: Tb6Sm7Tm16 after structural relaxation (PBE).

```
data_Tb6Sm7Tm16
_symmetry_space_group_name_H-M 'P 1'
_symmetry_Int_Tables_number 1
_cell_length_a 10.973
_cell_length_b 10.973
_cell_length_c 10.973
_cell_angle_alpha 60.00
_cell_angle_beta 60.00
_cell_angle_gamma 60.00
loop_
_symmetry_equiv_pos_as_xyz
'x,y,z'
loop_
_atom_site_label
_atom_site_type_symbol
_atom_site_fract_x
_atom_site_fract_y
_atom_site_fract_z
Tm1 Tm 0.614 0.614 0.614
Sm1 Sm 0.000 0.500 0.500
Tm2 Tm 0.614 0.158 0.614
Tb1 Tb 0.776 0.224 0.224
Tm3 Tm 0.386 0.842 0.386
Sm2 Sm 0.500 0.000 0.000
Tm4 Tm 0.446 0.851 0.851
Tm5 Tm 0.158 0.614 0.614
Tb2 Tb 0.776 0.224 0.776
Tm6 Tm 0.842 0.386 0.386
Sm3 Sm 0.000 0.500 0.000
Tm7 Tm 0.554 0.149 0.149
Tm8 Tm 0.614 0.614 0.158
Tm9 Tm 0.149 0.149 0.554
Sm4 Sm 0.500 0.000 0.500
Tm10 Tm 0.851 0.851 0.446
Tm11 Tm 0.386 0.386 0.842
Tb3 Tb 0.224 0.224 0.776
Sm5 Sm 0.000 0.000 0.000
Tm12 Tm 0.386 0.386 0.386
Sm6 Sm 0.500 0.500 0.000
Tm13 Tm 0.851 0.851 0.851
Tb4 Tb 0.224 0.776 0.776
Tm14 Tm 0.149 0.554 0.149
Sm7 Sm 0.000 0.000 0.500
Tm15 Tm 0.851 0.446 0.851
Tb5 Tb 0.776 0.776 0.224
Tm16 Tm 0.149 0.149 0.149
Tb6 Tb 0.224 0.776 0.224
```

DOS(E_F) = 51.4 states/eV/f.u.
ΔE_f = 191 meV per atom
Total moment = 0.0 μB/f.u.
SG = Fm-3m

***

Entry 3:
Entry from the Alexandria database: Tb3Sm7Tm2 after structural relaxation (PBE).

```
data_Tb3Sm7Tm2
_symmetry_space_group_name_H-M 'P 1'
_symmetry_Int_Tables_number 1
_cell_length_a 3.606
_cell_length_b 5.761
_cell_length_c 19.257
_cell_angle_alpha 98.60
_cell_angle_beta 90.00
_cell_angle_gamma 90.00
loop_
_symmetry_equiv_pos_as_xyz
'x,y,z'
loop_
_atom_site_label
_atom_site_type_symbol
_atom_site_fract_x
_atom_site_fract_y
_atom_site_fract_z
Sm1 Sm 0.000 0.407 0.814
Tb1 Tb 0.500 0.315 0.631
Sm2 Sm 0.000 0.000 0.000
Sm3 Sm 0.000 0.593 0.186
Tb2 Tb 0.500 0.685 0.369
Tm1 Tm 0.000 0.148 0.297
Sm4 Sm 0.000 0.768 0.536
Tm2 Tm 0.000 0.852 0.703
Sm5 Sm 0.500 0.927 0.854
Tb3 Tb 0.500 0.500 0.000
Sm6 Sm 0.500 0.073 0.146
Sm7 Sm 0.000 0.232 0.464
```

DOS(E_F) = 18.4 states/eV/f.u.
Distance to the lowest polymorph of the same formula = 0 meV per atom
ΔE_f = 111 meV per atom
Total moment = 0.0 μB/f.u.
SG = Cmmm

***

Entry 4:
Entry from the Alexandria database: Tb6SmTm2 after structural relaxation (PBE).

```
data_Tb6SmTm2
_symmetry_space_group_name_H-M 'P 1'
_symmetry_Int_Tables_number 1
_cell_length_a 3.554
_cell_length_b 8.689
_cell_length_c 12.788
_cell_angle_alpha 132.73
_cell_angle_beta 82.01
_cell_angle_gamma 90.05
loop_
_symmetry_equiv_pos_as_xyz
'x,y,z'
loop_
_atom_site_label
_atom_site_type_symbol
_atom_site_fract_x
_atom_site_fract_y
_atom_site_fract_z
Tb1 Tb 0.110 0.444 0.779
Tb2 Tb 0.778 0.109 0.443
Tb3 Tb 0.667 0.666 0.666
Tb4 Tb 0.890 0.556 0.221
Sm1 Sm 0.000 0.000 0.000
Tb5 Tb 0.333 0.334 0.334
Tb6 Tb 0.222 0.891 0.557
Tm1 Tm 0.556 0.224 0.889
Tm2 Tm 0.444 0.776 0.111
```

DOS(E_F) = 12.5 states/eV/f.u.
Distance to the lowest polymorph of the same formula = 0 meV per atom
ΔE_f = 17 meV per atom
Total moment = 0.0 μB/f.u.
SG = C2/m

***

Entry 5:
Entry from the Alexandria database: Tb9Sm4Tm11 after structural relaxation (PBE).

```
data_Tb9Sm4Tm11
_symmetry_space_group_name_H-M 'P 1'
_symmetry_Int_Tables_number 1
_cell_length_a 3.672
_cell_length_b 14.973
_cell_length_c 14.973
_cell_angle_alpha 112.85
_cell_angle_beta 90.00
_cell_angle_gamma 90.00
loop_
_symmetry_equiv_pos_as_xyz
'x,y,z'
loop_
_atom_site_label
_atom_site_type_symbol
_atom_site_fract_x
_atom_site_fract_y
_atom_site_fract_z
Tb1 Tb 0.500 0.838 0.367
Tb2 Tb 0.500 0.788 0.934
Tm1 Tm 0.000 0.407 0.045
Sm1 Sm 0.500 0.246 0.446
Tb3 Tb 0.500 0.162 0.633
Tm2 Tm 0.000 0.593 0.955
Tb4 Tb 0.500 0.367 0.838
Tm3 Tm 0.000 0.000 0.000
Tm4 Tm 0.000 0.160 0.840
Tm5 Tm 0.000 0.840 0.160
Tb5 Tb 0.500 0.500 0.500
Sm2 Sm 0.500 0.754 0.554
Sm3 Sm 0.500 0.446 0.246
Tb6 Tb 0.500 0.066 0.212
Tb7 Tb 0.500 0.633 0.162
Tm6 Tm 0.000 0.364 0.636
Tm7 Tm 0.000 0.287 0.287
Tm8 Tm 0.000 0.045 0.407
Sm4 Sm 0.500 0.554 0.754
Tm9 Tm 0.000 0.713 0.713
Tm10 Tm 0.000 0.955 0.593
Tb8 Tb 0.500 0.934 0.788
Tb9 Tb 0.500 0.212 0.066
Tm11 Tm 0.000 0.636 0.364
```

DOS(E_F) = 29.9 states/eV/f.u.
ΔE_f = 53 meV per atom
Total moment = 0.0 μB/f.u.
SG = Cmmm

***

Entry 6:
Entry from the Alexandria database: Tb6Sm4Tm after structural relaxation (PBE).

```
data_Tb6Sm4Tm
_symmetry_space_group_name_H-M 'P 1'
_symmetry_Int_Tables_number 1
_cell_length_a 5.793
_cell_length_b 5.622
_cell_length_c 25.616
_cell_angle_alpha 90.00
_cell_angle_beta 90.00
_cell_angle_gamma 121.01
loop_
_symmetry_equiv_pos_as_xyz
'x,y,z'
loop_
_atom_site_label
_atom_site_type_symbol
_atom_site_fract_x
_atom_site_fract_y
_atom_site_fract_z
Tb1 Tb 0.538 0.075 0.750
Sm1 Sm 0.542 0.084 0.622
Sm2 Sm 0.151 0.301 0.044
Tb2 Tb 0.130 0.261 0.183
Sm3 Sm 0.458 0.916 0.122
Tb3 Tb 0.462 0.925 0.250
Sm4 Sm 0.151 0.301 0.456
Tb4 Tb 0.500 0.000 0.000
Tb5 Tb 0.500 0.000 0.500
Tb6 Tb 0.199 0.399 0.893
Tb7 Tb 0.130 0.261 0.317
Tb8 Tb 0.870 0.739 0.683
Tm1 Tm 0.202 0.404 0.750
Tb9 Tb 0.801 0.601 0.107
Sm5 Sm 0.849 0.699 0.544
Tb10 Tb 0.199 0.399 0.607
Tb11 Tb 0.870 0.739 0.817
Sm6 Sm 0.542 0.084 0.878
Tm2 Tm 0.798 0.596 0.250
Sm7 Sm 0.849 0.699 0.956
Tb12 Tb 0.801 0.601 0.393
Sm8 Sm 0.458 0.916 0.378
```

DOS(E_F) = 19.8 states/eV/f.u.
Distance to the lowest polymorph of the same formula = 0 meV per atom
ΔE_f = 125 meV per atom
Total moment = 0.0 μB/f.u.
SG = Cmcm

***

Entry 7:
Entry from the Alexandria database: TbSmTm4 after structural relaxation (PBE).

```
data_TbSmTm4
_symmetry_space_group_name_H-M 'P 1'
_symmetry_Int_Tables_number 1
_cell_length_a 6.537
_cell_length_b 6.537
_cell_length_c 6.537
_cell_angle_alpha 60.00
_cell_angle_beta 60.00
_cell_angle_gamma 60.00
loop_
_symmetry_equiv_pos_as_xyz
'x,y,z'
loop_
_atom_site_label
_atom_site_type_symbol
_atom_site_fract_x
_atom_site_fract_y
_atom_site_fract_z
Tm1 Tm 0.625 0.625 0.124
Tm2 Tm 0.124 0.625 0.625
Sm1 Sm 0.250 0.250 0.250
Tb1 Tb 0.000 0.000 0.000
Tm3 Tm 0.625 0.124 0.625
Tm4 Tm 0.625 0.625 0.625
```

DOS(E_F) = 13.2 states/eV/f.u.
Distance to the lowest polymorph of the same formula = 264 meV per atom
ΔE_f = 286 meV per atom
Total moment = 1.5 μB/f.u.
SG = F-43m

***

Entry 8:
Entry from the Alexandria database: Tb4Sm3Tm2 after structural relaxation (PBE).

```
data_Tb4Sm3Tm2
_symmetry_space_group_name_H-M 'P 1'
_symmetry_Int_Tables_number 1
_cell_length_a 6.167
_cell_length_b 6.177
_cell_length_c 12.848
_cell_angle_alpha 118.72
_cell_angle_beta 103.92
_cell_angle_gamma 119.91
loop_
_symmetry_equiv_pos_as_xyz
'x,y,z'
loop_
_atom_site_label
_atom_site_type_symbol
_atom_site_fract_x
_atom_site_fract_y
_atom_site_fract_z
Tb1 Tb 0.111 0.221 0.334
Sm1 Sm 0.554 0.110 0.666
Sm2 Sm 0.000 0.000 0.000
Sm3 Sm 0.446 0.890 0.334
Tb2 Tb 0.335 0.668 0.000
Tb3 Tb 0.889 0.779 0.666
Tm1 Tm 0.779 0.557 0.334
Tb4 Tb 0.665 0.332 0.000
Tm2 Tm 0.221 0.443 0.666
```

DOS(E_F) = 11.7 states/eV/f.u.
Distance to the lowest polymorph of the same formula = 0 meV per atom
ΔE_f = 17 meV per atom
Total moment = 0.0 μB/f.u.
SG = P-1

***

Entry 9:
Entry from the Alexandria database: Tb6SmTm after structural relaxation (PBE).

```
data_Tb6SmTm
_symmetry_space_group_name_H-M 'P 1'
_symmetry_Int_Tables_number 1
_cell_length_a 5.037
_cell_length_b 5.037
_cell_length_c 10.057
_cell_angle_alpha 90.00
_cell_angle_beta 90.00
_cell_angle_gamma 90.00
loop_
_symmetry_equiv_pos_as_xyz
'x,y,z'
loop_
_atom_site_label
_atom_site_type_symbol
_atom_site_fract_x
_atom_site_fract_y
_atom_site_fract_z
Tb1 Tb 0.500 0.000 0.252
Tb2 Tb 0.000 0.500 0.252
Tb3 Tb 0.500 0.500 0.500
Tb4 Tb 0.500 0.000 0.748
Tb5 Tb 0.500 0.500 0.000
Sm1 Sm 0.000 0.000 0.000
Tm1 Tm 0.000 0.000 0.500
Tb6 Tb 0.000 0.500 0.748
```

DOS(E_F) = 12.4 states/eV/f.u.
Distance to the lowest polymorph of the same formula = 0 meV per atom
ΔE_f = 21 meV per atom
Total moment = 0.0 μB/f.u.
SG = P4/mmm

***

Entry 10:
Entry from the Alexandria database: Tb8SmTm4 after structural relaxation (PBE).

```
data_Tb8SmTm4
_symmetry_space_group_name_H-M 'P 1'
_symmetry_Int_Tables_number 1
_cell_length_a 7.244
_cell_length_b 7.244
_cell_length_c 10.011
_cell_angle_alpha 90.00
_cell_angle_beta 111.21
_cell_angle_gamma 120.00
loop_
_symmetry_equiv_pos_as_xyz
'x,y,z'
loop_
_atom_site_label
_atom_site_type_symbol
_atom_site_fract_x
_atom_site_fract_y
_atom_site_fract_z
Tm1 Tm 0.000 0.500 0.000
Tb1 Tb 0.949 0.199 0.700
Tm2 Tm 0.500 0.500 0.000
Tb2 Tb 0.566 0.783 0.349
Tb3 Tb 0.051 0.249 0.300
Tb4 Tb 0.501 0.751 0.700
Tm3 Tm 0.500 0.000 0.000
Tb5 Tb 0.434 0.217 0.651
Tb6 Tb 0.051 0.801 0.300
Tb7 Tb 0.499 0.249 0.300
Sm1 Sm 0.000 0.500 0.500
Tb8 Tb 0.949 0.751 0.700
Tm4 Tm 0.000 0.000 0.000
```

DOS(E_F) = 14.4 states/eV/f.u.
ΔE_f = 202 meV per atom
Total moment = 0.0 μB/f.u.
SG = R-3m

***

Entry 11:
Entry from the Alexandria database: TbSm3Tm7 after structural relaxation (PBE).

```
data_TbSm3Tm7
_symmetry_space_group_name_H-M 'P 1'
_symmetry_Int_Tables_number 1
_cell_length_a 8.799
_cell_length_b 9.983
_cell_length_c 5.463
_cell_angle_alpha 89.99
_cell_angle_beta 128.38
_cell_angle_gamma 106.17
loop_
_symmetry_equiv_pos_as_xyz
'x,y,z'
loop_
_atom_site_label
_atom_site_type_symbol
_atom_site_fract_x
_atom_site_fract_y
_atom_site_fract_z
Tm1 Tm 0.500 0.000 0.500
Tm2 Tm 0.819 0.639 0.319
Tm3 Tm 0.908 0.830 0.908
Tm4 Tm 0.181 0.361 0.681
Sm1 Sm 0.000 0.500 0.000
Sm2 Sm 0.216 0.997 0.716
Tm5 Tm 0.641 0.289 0.141
Tm6 Tm 0.092 0.170 0.092
Sm3 Sm 0.784 0.003 0.284
Tb1 Tb 0.500 0.500 0.500
Tm7 Tm 0.359 0.711 0.859
```

DOS(E_F) = 18.3 states/eV/f.u.
Distance to the lowest polymorph of the same formula = 0 meV per atom
ΔE_f = 160 meV per atom
Total moment = 0.0 μB/f.u.
SG = P2/m

***

Entry 12:
Entry from the Alexandria database: Tb3SmTm2 after structural relaxation (PBE).

```
data_Tb3SmTm2
_symmetry_space_group_name_H-M 'P 1'
_symmetry_Int_Tables_number 1
_cell_length_a 7.091
_cell_length_b 6.137
_cell_length_c 9.392
_cell_angle_alpha 89.89
_cell_angle_beta 112.30
_cell_angle_gamma 90.04
loop_
_symmetry_equiv_pos_as_xyz
'x,y,z'
loop_
_atom_site_label
_atom_site_type_symbol
_atom_site_fract_x
_atom_site_fract_y
_atom_site_fract_z
Tm1 Tm 0.792 0.582 0.335
Tb1 Tb 0.958 0.916 0.664
Tm2 Tm 0.543 0.082 0.335
Tb2 Tb 0.707 0.416 0.664
Tb3 Tb 0.376 0.750 0.000
Sm1 Sm 0.874 0.750 0.000
Tm3 Tm 0.457 0.918 0.665
Tb4 Tb 0.042 0.084 0.336
Tm4 Tm 0.208 0.418 0.665
Sm2 Sm 0.126 0.250 0.000
Tb5 Tb 0.624 0.250 0.000
Tb6 Tb 0.293 0.584 0.336
```

DOS(E_F) = 8.2 states/eV/f.u.
Distance to the lowest polymorph of the same formula = 23 meV per atom
ΔE_f = 19 meV per atom
Total moment = 0.0 μB/f.u.
SG = P-1

***

- The lowest DOS(E_F) belongs to which entry?
  Tb3SmTm2

***

What did the eighth record say?
Entry from the Alexandria database: Tb4Sm3Tm2 after structural relaxation (PBE).

```
data_Tb4Sm3Tm2
_symmetry_space_group_name_H-M 'P 1'
_symmetry_Int_Tables_number 1
_cell_length_a 6.167
_cell_length_b 6.177
_cell_length_c 12.848
_cell_angle_alpha 118.72
_cell_angle_beta 103.92
_cell_angle_gamma 119.91
loop_
_symmetry_equiv_pos_as_xyz
'x,y,z'
loop_
_atom_site_label
_atom_site_type_symbol
_atom_site_fract_x
_atom_site_fract_y
_atom_site_fract_z
Tb1 Tb 0.111 0.221 0.334
Sm1 Sm 0.554 0.110 0.666
Sm2 Sm 0.000 0.000 0.000
Sm3 Sm 0.446 0.890 0.334
Tb2 Tb 0.335 0.668 0.000
Tb3 Tb 0.889 0.779 0.666
Tm1 Tm 0.779 0.557 0.334
Tb4 Tb 0.665 0.332 0.000
Tm2 Tm 0.221 0.443 0.666
```

DOS(E_F) = 11.7 states/eV/f.u.
Distance to the lowest polymorph of the same formula = 0 meV per atom
ΔE_f = 17 meV per atom
Total moment = 0.0 μB/f.u.
SG = P-1

***

- Among the records above, which one has the highest total moment?
  TbSmTm4